! Dy4Ho4Tm3 | Alexandria | PBE-GGA | optimized geometry; values from VASP
! Space group   No. 71
! Crystal system   orthorhombic
! Formation energy   0.130 eV/atom
&SYSTEM
  ibrav = 0, nat = 11, ntyp = 3
/
ATOMIC_SPECIES
Ho 164.93 Ho.upf
Tm 168.93 Tm.upf
Dy 162.50 Dy.upf
CELL_PARAMETERS angstrom
-1.8836 -1.6851 -2.4876
6.8137 1.3263 -6.0579
1.9401 -9.0703 7.2023
ATOMIC_POSITIONS angstrom
Ho 2.5037 -3.0625 -2.3493
Ho 4.3664 -6.3666 1.0061
Ho 4.9459 -2.5871 -4.5206
Ho 1.9242 -6.8420 3.1774
Tm 5.9134 -7.4204 -1.9794
Tm 3.4068 0.6632 -3.0290
Tm 0.9567 -2.0088 0.6362
Dy 1.1856 -5.3097 0.1710
Dy 0.3145 -0.5980 -2.3608
Dy 4.6155 0.2392 -6.1847
Dy 5.6845 -4.1195 -1.5143